[1]
The following is a PBE calculation of an optimized crystal structure of Ti6Al3Au, from Alexandria.

* E: -6.312 eV per atom
* theoretical density: 5.40 g/cm³

Cell: 8.8974 15.2209 5.1357 Å, 90.00 90.00 90.00°
Closest atoms and distances in Å follow each position.
Space group Cmc2_1 (No. 36)
Inequivalent atoms, fractional coordinates:
Ti (0.0000, 0.0526, 0.0000) (multiplicity 4)  1 Au 2.93, 6 Ti 2.97-3.05, 6 Al 2.98-3.16
Ti (0.0000, 0.3039, 0.2499) (multiplicity 4)  2 Au 2.76-2.88, 6 Ti 2.76-3.08, 2 Al 2.86-2.91
Ti (0.1764, 0.4727, 0.3774) (multiplicity 8)  4 Al 2.69-2.75, 4 Ti 2.70-2.97
Ti (0.2417, 0.1934, 0.0459) (multiplicity 8)  2 Au 2.65-2.82, 2 Al 2.74-2.82, 3 Ti 2.76-2.92
Al (0.0000, 0.3908, 0.7445) (multiplicity 4)  1 Au 2.48, 4 Ti 2.69-2.75
Al (0.1627, 0.1184, 0.5115) (multiplicity 8)  1 Au 2.56, 3 Ti 2.73-2.74
Au (0.0000, 0.2278, 0.7632) (multiplicity 4)  3 Al 2.48-2.56, 3 Ti 2.65-2.76

***

[2]
The following is a PBE calculation of an optimized crystal structure of Ac3CdHg, from Alexandria.

* relative energy among the computed polymorphs: 0 meV per atom
* theoretical density: 9.18 g/cm³

Cell: 5.7644 21.6587 5.7576 Å, 90.00 90.00 90.00°
Closest atoms and distances in Å follow each position.
Space group Cmcm (No. 63)
Inequivalent atoms, fractional coordinates:
Ac (0.0000, 0.0638, 0.2500) (multiplicity 4)  2 Cd 3.49, 2 Hg 3.49
Ac (0.0000, 0.2495, 0.2500) (multiplicity 4)  4 Cd 3.54-3.55, 4 Hg 3.54-3.55
Ac (0.0000, 0.4340, 0.2500) (multiplicity 4)  2 Hg 3.46, 2 Cd 3.46
Cd (0.0000, 0.1546, 0.7500) (multiplicity 4)  8 Ac 3.46-3.55
Hg (0.0000, 0.3455, 0.7500) (multiplicity 4)  8 Ac 3.46-3.55